## CaTlRu (PBEsol)

Data for CaTlRu after structural relaxation.

DFT total energy	-11.80	eV for the cell shown
symmetry	F-43m (216)

Cell lengths 4.6582, 4.6582, 4.6582 Å; angles 60.00, 60.00, 60.00 degrees
Fractional coordinates of all 3 atoms:
Ru 0.0000 0.0000 0.0000
Ca 0.2500 0.2500 0.2500
Tl 0.5000 0.5000 0.5000

## KB3Te (PBEsol)

Data for KB3Te after structural relaxation.

symmetry	Pm-3m (221)
energy relative to the elements, uncorrected	3097	meV per atom

Cell lengths 4.8500, 4.8500, 4.8500 Å; angles 90.00, 90.00, 90.00 degrees
Fractional coordinates of all 5 atoms:
B 0.0000 0.0000 0.5000
B 0.5000 0.0000 0.0000
K 0.0000 0.0000 0.0000
B 0.0000 0.5000 0.0000
Te 0.5000 0.5000 0.5000

## TmZr6P9O36 (PBEsol)

Data for TmZr6P9O36 after structural relaxation.

symmetry	P-3c1 (165)
energy relative to the elements, uncorrected	-2805	meV per atom

Cell lengths 8.8909, 8.8909, 22.3045 Å; angles 90.00, 90.00, 120.00 degrees
Fractional coordinates of all 104 atoms:
Zr 0.6667 0.3333 0.6879
P 0.9444 0.6256 0.0776
P 0.3188 0.3744 0.4224
P 0.2914 0.2914 0.7500
O 0.7982 0.9721 0.6946
Zr 0.6667 0.3333 0.9664
O 0.6884 0.5343 0.5207
P 0.0000 0.7086 0.7500
O 0.1579 0.6939 0.3660
O 0.1739 0.9721 0.1946
O 0.6916 0.1601 0.7414
O 0.1541 0.4657 0.9793
O 0.1553 0.1841 0.4254
O 0.5315 0.6916 0.2586
O 0.4813 0.3567 0.4194
O 0.1541 0.6884 0.4793
O 0.1601 0.6916 0.7586
Zr 0.6667 0.3333 0.4664
O 0.2018 0.1739 0.8054
O 0.1841 0.0289 0.5746
O 0.4813 0.1246 0.9194
O 0.1601 0.4685 0.2586
O 0.0279 0.8261 0.6946
P 0.3188 0.9444 0.9224
O 0.4657 0.3116 0.0207
O 0.8421 0.3061 0.6340
O 0.6939 0.1579 0.1340
O 0.5359 0.8421 0.3660
P 0.0000 0.2914 0.2500
O 0.9711 0.8159 0.0746
Zr 0.3333 0.6667 0.5336
O 0.8159 0.8447 0.9254
O 0.3084 0.8399 0.2586
O 0.4657 0.1541 0.5207
O 0.0289 0.1841 0.9254
O 0.8447 0.0289 0.0746
O 0.8399 0.5315 0.7414
O 0.9721 0.7982 0.8054
O 0.3061 0.8421 0.8660
O 0.5315 0.8399 0.7586
O 0.4685 0.1601 0.2414
O 0.1579 0.4641 0.8660
Zr 0.6667 0.3333 0.1879
O 0.8459 0.5343 0.0207
O 0.8754 0.5187 0.4194
O 0.5187 0.6433 0.5806
Zr 0.0000 0.0000 0.8527
O 0.6433 0.5187 0.9194
Zr 0.3333 0.6667 0.8121
O 0.8261 0.7982 0.3054
P 0.0556 0.6812 0.4224
O 0.8459 0.3116 0.5207
O 0.8261 0.0279 0.8054
O 0.4685 0.3084 0.7414
P 0.6256 0.6812 0.9224
P 0.6812 0.0556 0.0776
O 0.5187 0.8754 0.0806
O 0.5359 0.6939 0.8660
O 0.1246 0.6433 0.0806
O 0.4641 0.1579 0.6340
O 0.3084 0.4685 0.7586
O 0.4641 0.3061 0.1340
O 0.1553 0.9711 0.9254
O 0.6939 0.5359 0.6340
O 0.5343 0.8459 0.4793
Zr 0.0000 0.0000 0.6473
O 0.8159 0.9711 0.4254
P 0.2914 0.0000 0.2500
P 0.7086 0.0000 0.7500
O 0.9711 0.1553 0.5746
P 0.0556 0.3744 0.9224
Zr 0.0000 0.0000 0.1473
Zr 0.0000 0.0000 0.3527
O 0.1246 0.4813 0.5806
Tm 0.0000 0.0000 0.5000
O 0.3061 0.4641 0.3660
O 0.8421 0.5359 0.1340
O 0.0279 0.2018 0.1946
Zr 0.3333 0.6667 0.3121
O 0.9721 0.1739 0.3054
P 0.7086 0.7086 0.2500
O 0.6916 0.5315 0.2414
P 0.3744 0.3188 0.0776
O 0.3116 0.8459 0.9793
Zr 0.3333 0.6667 0.0336
O 0.5343 0.6884 0.9793
O 0.1841 0.1553 0.0746
P 0.3744 0.0556 0.5776
O 0.7982 0.8261 0.1946
O 0.3116 0.4657 0.4793
P 0.6812 0.6256 0.5776
O 0.8754 0.3567 0.9194
P 0.6256 0.9444 0.4224
O 0.8447 0.8159 0.5746
P 0.9444 0.3188 0.5776
O 0.6884 0.1541 0.0207
O 0.2018 0.0279 0.3054
O 0.3567 0.4813 0.0806
O 0.1739 0.2018 0.6946
O 0.3567 0.8754 0.5806
Tm 0.0000 0.0000 0.0000
O 0.8399 0.3084 0.2414
O 0.0289 0.8447 0.4254
O 0.6433 0.1246 0.4194

## RbNiWO3F3 (PBEsol)

Data for RbNiWO3F3 after structural relaxation.

symmetry	C2/c (15)
energy relative to the elements, uncorrected	-2059	meV per atom

Cell lengths 7.1578, 7.1578, 7.2081 Å; angles 118.53, 118.53, 91.31 degrees
Site moments in Bohr magnetons follow the coordinates.
Fractional coordinates of all 18 atoms:
F 0.9224 0.6543 0.2514  0.04
F 0.9149 0.0851 0.2500  0.12
Ni 0.0000 0.0000 0.5000  1.58
O 0.3060 0.6940 0.2500  0.01
F 0.0851 0.9149 0.7500  0.12
O 0.6982 0.9351 0.4048  0.05
Rb 0.3626 0.6374 0.7500  0.00
F 0.6543 0.9224 0.7514  0.04
Ni 0.0000 0.0000 0.0000  1.58
W 0.5000 0.0000 0.5000  0.02
F 0.3457 0.0776 0.2486  0.04
F 0.0776 0.3457 0.7486  0.04
W 0.0000 0.5000 0.0000  0.02
O 0.9351 0.6982 0.9048  0.05
Rb 0.6374 0.3626 0.2500  0.00
O 0.6940 0.3060 0.7500  0.01
O 0.3018 0.0649 0.5952  0.05
O 0.0649 0.3018 0.0952  0.05